Record 1
First-principles (PBE) data for a relaxed structure of NaSrCa4, as listed in Alexandria via LeMat-Bulk.

Its total energy is -1.71 eV per atom. As for the spin magnetization: 0.00 μB/atom. Its energy above the most stable polymorph in this dataset is 89 meV per atom. The calculation puts the formation energy from the elements at 125 meV/atom.

The space group is F-43m (No. 216) and the conventional cell measures 10.396, 10.396 and 10.396 Å, with angles of 90.00, 90.00 and 90.00 degrees. Symmetry generates all atoms from Na at (0.000, 0.000, 0.000), Sr at (0.250, 0.250, 0.750) and Ca at (0.125, 0.125, 0.375).


Record 2
First-principles (PBE) data for a relaxed structure of Na2Sr3Ca, as listed in Alexandria via LeMat-Bulk.

Its total energy is -1.60 eV per atom. As for the spin magnetization: 0.00 μB/atom. The calculation puts the formation energy from the elements at 18 meV/atom.

The space group is P4/mmm (No. 123) and the conventional cell measures 4.399, 4.399 and 14.420 Å, with angles of 90.00, 90.00 and 90.00 degrees. Symmetry generates all atoms from Na at (0.000, 0.000, 0.163), Sr at (0.500, 0.500, 0.000), Sr at (0.500, 0.500, 0.323) and Ca at (0.000, 0.000, 0.500).


Record 3
First-principles (PBE) data for a relaxed structure of Na2Sr6Ca5, as listed in Alexandria via LeMat-Bulk.

Its total energy is -1.68 eV per atom. As for the spin magnetization: 0.00 μB/atom. The calculation puts the formation energy from the elements at 73 meV/atom.

The space group is Pbam (No. 55) and the conventional cell measures 11.901, 25.647 and 4.051 Å, with angles of 90.00, 90.00 and 90.00 degrees. Symmetry generates all atoms from Na at (0.165, 0.236, 0.000), Sr at (0.015, 0.886, 0.000), Sr at (0.152, 0.616, 0.000), Sr at (0.167, 0.365, 0.500), Ca at (0.000, 0.500, 0.500), Ca at (0.085, 0.751, 0.500) and Ca at (0.170, 0.003, 0.500).


Record 4
First-principles (PBE) data for a relaxed structure of NaSr6Ca2, as listed in Alexandria via LeMat-Bulk.

Its total energy is -1.69 eV per atom. As for the spin magnetization: 0.00 μB/atom. Its energy above the most stable polymorph in this dataset is 0 meV per atom. The calculation puts the formation energy from the elements at 22 meV/atom.

The space group is Pnnm (No. 58) and the conventional cell measures 12.120, 12.120 and 6.116 Å, with angles of 90.00, 90.00 and 90.00 degrees. Symmetry generates all atoms from Na at (0.000, 0.000, 0.000), Sr at (0.021, 0.327, 0.000), Sr at (0.139, 0.862, 0.500), Sr at (0.173, 0.522, 0.500) and Ca at (0.191, 0.192, 0.500).


Record 5
First-principles (PBE) data for a relaxed structure of Na4Sr5Ca, as listed in Alexandria via LeMat-Bulk.

Its total energy is -1.55 eV per atom. As for the spin magnetization: 0.00 μB/atom. The calculation puts the formation energy from the elements at 21 meV/atom.

The space group is P4/mmm (No. 123) and the conventional cell measures 4.498, 4.498 and 22.864 Å, with angles of 90.00, 90.00 and 90.00 degrees. Symmetry generates all atoms from Na at (0.000, 0.000, 0.098), Na at (0.000, 0.000, 0.296), Sr at (0.500, 0.500, 0.000), Sr at (0.500, 0.500, 0.196), Sr at (0.500, 0.500, 0.393) and Ca at (0.000, 0.000, 0.500).


Record 6
First-principles (PBE) data for a relaxed structure of Na4Sr5Ca2, as listed in Alexandria via LeMat-Bulk.

Its total energy is -1.50 eV per atom. As for the spin magnetization: 0.00 μB/atom. Its energy above the most stable polymorph in this dataset is 0 meV per atom. The calculation puts the formation energy from the elements at 107 meV/atom.

The space group is C2/m (No. 12) and the conventional cell measures 27.642, 3.934 and 9.698 Å, with angles of 90.00, 93.12 and 90.00 degrees. Symmetry generates all atoms from Na at (0.042, 0.000, 0.365), Na at (0.167, 0.500, 0.471), Sr at (0.000, 0.500, 0.000), Sr at (0.136, 0.000, 0.110), Sr at (0.231, 0.000, 0.804) and Ca at (0.089, 0.000, 0.730).


Record 7
First-principles (PBE) data for a relaxed structure of NaSrCa, as listed in Alexandria via LeMat-Bulk.

Its total energy is -1.63 eV per atom. As for the spin magnetization: 0.00 μB/atom. Its energy above the most stable polymorph in this dataset is 10 meV per atom. The calculation puts the formation energy from the elements at 40 meV/atom.

The space group is C2/m (No. 12) and the conventional cell measures 13.203, 6.175 and 7.727 Å, with angles of 90.00, 122.10 and 90.00 degrees. Symmetry generates all atoms from Na at (0.145, 0.000, 0.080), Sr at (0.179, 0.000, 0.605) and Ca at (0.029, 0.500, 0.772).


Record 8
First-principles (PBE) data for a relaxed structure of Na3Sr8Ca4, as listed in Alexandria via LeMat-Bulk.

Its total energy is -1.49 eV per atom. As for the spin magnetization: 0.00 μB/atom. The calculation puts the formation energy from the elements at 202 meV/atom.

The space group is C2/m (No. 12) and the conventional cell measures 15.257, 14.604 and 7.868 Å, with angles of 90.00, 120.32 and 90.00 degrees. Symmetry generates all atoms from Na at (0.000, 0.000, 0.000), Na at (0.250, 0.250, 0.000), Sr at (0.000, 0.154, 0.500), Sr at (0.000, 0.245, 0.000), Sr at (0.233, 0.000, 0.489), Sr at (0.237, 0.000, 0.988), Ca at (0.000, 0.500, 0.000), Ca at (0.000, 0.500, 0.500) and Ca at (0.250, 0.250, 0.500).


Record 9
First-principles (PBE) data for a relaxed structure of NaSr5Ca, as listed in Alexandria via LeMat-Bulk.

Its total energy is -1.54 eV per atom. As for the spin magnetization: 0.00 μB/atom. Its energy above the most stable polymorph in this dataset is 27 meV per atom. The calculation puts the formation energy from the elements at 137 meV/atom.

The space group is P4/mmm (No. 123) and the conventional cell measures 6.537, 6.537 and 9.071 Å, with angles of 90.00, 90.00 and 90.00 degrees. Symmetry generates all atoms from Na at (0.000, 0.000, 0.000), Sr at (0.000, 0.500, 0.262), Sr at (0.500, 0.500, 0.000) and Ca at (0.500, 0.500, 0.500).


Record 10
First-principles (PBE) data for a relaxed structure of NaSr6Ca8, as listed in Alexandria via LeMat-Bulk.

Its total energy is -1.78 eV per atom. As for the spin magnetization: 0.00 μB/atom. The calculation puts the formation energy from the elements at 53 meV/atom.

The space group is R-3 (No. 148, hexagonal axes) and the conventional cell measures 10.0101, 10.0101 and 24.4840 Å, with angles of 90.00, 90.00 and 120.00 degrees. Symmetry generates all atoms from Na at (0.0000, 0.0000, 0.0000), Sr at (0.0252, 0.2523, 0.7086), Ca at (0.0000, 0.0000, 0.4245) and Ca at (0.0570, 0.8017, 0.1350).


Record 11
First-principles (PBE) data for a relaxed structure of Na2Sr3Ca3, as listed in Alexandria via LeMat-Bulk.

Its total energy is -1.68 eV per atom. As for the spin magnetization: 0.00 μB/atom. The calculation puts the formation energy from the elements at 34 meV/atom.

The space group is P-1 (No. 2) and the conventional cell measures 5.813, 5.851 and 11.421 Å, with angles of 104.79, 104.68 and 90.05 degrees. Symmetry generates all atoms from Na at (0.249, 0.249, 0.498), Sr at (0.000, 0.000, 0.000), Sr at (0.134, 0.634, 0.269), Ca at (0.367, 0.867, 0.734) and Ca at (0.500, 0.500, 0.000).


Record 12
First-principles (PBE) data for a relaxed structure of NaSr2Ca3, as listed in Alexandria via LeMat-Bulk.

Its total energy is -1.73 eV per atom. As for the spin magnetization: 0.00 μB/atom. The calculation puts the formation energy from the elements at 48 meV/atom.

The space group is Cmmm (No. 65) and the conventional cell measures 6.413, 19.190 and 4.416 Å, with angles of 90.00, 90.00 and 90.00 degrees. Symmetry generates all atoms from Na at (0.000, 0.000, 0.000), Sr at (0.000, 0.325, 0.000), Ca at (0.000, 0.151, 0.500) and Ca at (0.000, 0.500, 0.500).